[1]
RbHCCl2: relaxed, GGA-PBE.

Uncorrected energy   -9.05 eV for the cell shown

Lattice parameters (Å, degrees): 6.257 6.257 6.479 90.00 90.00 90.00
Space group P4/mmm (No. 123)
Asymmetric unit:
Rb  0.000  0.000  0.000 x1
H  0.500  0.500  0.500 x1
C  0.000  0.000  0.500 x1
Cl  0.000  0.500  0.000 x2



[2]
Rb2HCCl6: relaxed, GGA-PBE.

Uncorrected energy   -60.12 eV for the cell shown

Lattice parameters (Å, degrees): 7.316 7.316 9.094 90.00 90.00 90.00
Space group I4/mmm (No. 139)
Asymmetric unit:
Rb  0.000  0.500  0.250 x4
H  0.000  0.000  0.000 x2
C  0.000  0.000  0.500 x2
Cl  0.000  0.000  0.170 x4
Cl  0.190  0.190  0.500 x8



[3]
SnH12C4S2Cl4: relaxed, GGA-PBE.

Uncorrected energy   -210.99 eV for the cell shown

Lattice parameters (Å, degrees): 7.121 12.643 9.316 90.00 119.98 90.00
Space group P2_1/c (No. 14)
Asymmetric unit:
Sn  0.000  0.000  0.000 x2
H  0.028  0.201  0.487 x4
H  0.028  0.248  0.167 x4
H  0.244  0.167  0.689 x4
H  0.352  0.112  0.381 x4
H  0.439  0.568  0.160 x4
H  0.453  0.705  0.115 x4
C  0.129  0.229  0.614 x4
C  0.453  0.134  0.327 x4
S  0.285  0.160  0.109 x4
Cl  0.123  0.548  0.305 x4
Cl  0.268  0.620  0.709 x4



[4]
Sc6HC2Cl3: relaxed, GGA-PBE.

Uncorrected energy   -154.47 eV for the cell shown

Lattice parameters (Å, degrees): 5.916 10.244 6.665 90.00 107.38 90.00
Space group C2/m (No. 12)
Asymmetric unit:
Sc  0.214  0.000  0.186 x4
Sc  0.237  0.325  0.186 x8
H  0.000  0.500  0.000 x2
C  0.000  0.166  0.000 x4
Cl  0.000  0.000  0.500 x2
Cl  0.000  0.333  0.500 x4



[5]
SiH9C3Cl: relaxed, GGA-PBE.

Uncorrected energy   -140.33 eV for the cell shown

Lattice parameters (Å, degrees): 6.603 7.968 6.991 90.00 90.84 90.00
Space group P2_1/m (No. 11)
Asymmetric unit:
Si  0.184  0.250  0.316 x2
H  0.201  0.051  0.041 x4
H  0.212  0.558  0.264 x4
H  0.215  0.138  0.647 x4
H  0.429  0.051  0.180 x4
H  0.436  0.250  0.581 x2
C  0.263  0.055  0.188 x4
C  0.270  0.250  0.572 x2
Cl  0.137  0.750  0.683 x2



[6]
Sm4HCCl2: relaxed, GGA-PBE.

Uncorrected energy   -42.52 eV for the cell shown

Lattice parameters (Å, degrees): 6.406 3.740 7.241 90.00 105.52 90.00
Space group P2/m (No. 10)
Asymmetric unit:
Sm  0.229  0.000  0.188 x2
Sm  0.254  0.500  0.797 x2
H  0.500  0.000  0.000 x1
C  0.000  0.500  0.000 x1
Cl  0.000  0.000  0.500 x1
Cl  0.500  0.500  0.500 x1